Density functional theory data (PBE-GGA) for a relaxed structure of La7Pm2Er3.

Results
energy relative to the elements = 59.4 meV/atom

Cell: 3.594 6.554 18.374 Å, 74.73 90.00 90.00°
Fractional coordinates of all 12 atoms:
La 0.500 0.229 0.509
La 0.500 0.771 0.491
La 0.000 0.554 0.166
La 0.000 0.000 0.000
La 0.000 0.446 0.834
La 0.500 0.943 0.828
La 0.500 0.057 0.172
Pm 0.500 0.611 0.330
Pm 0.500 0.389 0.670
Er 0.500 0.500 0.000
Er 0.000 0.120 0.339
Er 0.000 0.880 0.661